Record 1
This record from the Alexandria database describes a relaxed Cs4Rb2Pd crystal. The functional is GGA-PBE.

Structure (POSCAR):
```
Cs4Rb2Pd
1.0
8.183 0.000 2.729
4.091 11.430 1.364
0.475 0.000 12.207
Cs Rb Pd
8 4 2
Cartesian
7.897 2.822 3.585
4.852 8.607 12.715
11.381 10.527 6.770
4.852 2.822 12.715
9.551 10.527 12.259
1.368 0.903 9.530
7.897 8.607 3.585
3.199 0.903 4.042
6.375 8.019 8.150
3.012 5.715 4.600
6.375 3.410 8.150
9.737 5.715 11.701
6.137 0.000 2.047
2.046 0.000 0.682
```

- E_form: 0.055 eV per atom
- SG: I4/mcm, No. 140
- Spin magnetization: 0.00 μB/cell

Record 2
This record from the Alexandria database describes a relaxed Rb3BaNa crystal. The functional is GGA-PBE.

Structure (POSCAR):
```
Rb3BaNa
1.0
-1.741 -2.489 -6.750
7.179 -0.142 -1.800
0.475 -6.970 2.447
Na Ba Rb
1 1 3
Cartesian
0.000 0.000 0.000
2.956 -4.801 -3.051
3.589 -0.071 -0.900
0.238 -3.485 1.224
-0.871 -1.244 -3.375
```

- E_form: 0.223 eV per atom
- SG: Pm-3m, No. 221
- Spin magnetization: 0.00 μB/cell

Record 3
This record from the Alexandria database describes a relaxed TbSm9Dy2 crystal. The functional is GGA-PBE.

Structure (POSCAR):
```
TbSm9Dy2
1.0
-3.512 2.796 2.421
1.706 -1.737 4.481
9.845 11.686 0.784
Tb Sm Dy
1 9 2
Cartesian
0.000 0.000 0.000
-0.903 0.529 3.451
2.380 4.427 3.712
5.658 8.318 3.973
-0.113 3.348 1.341
3.167 7.241 1.602
6.446 11.134 1.863
2.496 1.081 2.372
5.775 4.974 2.633
9.055 8.867 2.894
3.283 3.896 0.261
6.562 7.789 0.522
```

- E_form: 0.018 eV per atom
- SG: P4/mmm, No. 123
- Spin magnetization: 0.00 μB/cell

Record 4
This record from the Alexandria database describes a relaxed CuNi2W crystal. The functional is GGA-PBE.

Structure (POSCAR):
```
CuNi2W
1.0
-0.911 -2.053 -3.728
4.008 -1.697 -0.045
-0.879 -2.113 1.378
Cu Ni W
1 2 1
Cartesian
1.565 -1.905 0.666
0.000 0.000 0.000
1.548 -1.875 -1.887
-0.895 -2.083 -1.175
```

- E_form: 0.188 eV per atom
- SG: P4/mmm, No. 123
- Spin magnetization: 0.00 μB/cell

Record 5
This record from the Alexandria database describes a relaxed Ac2SmHoO6 crystal. The functional is GGA-PBE.

Structure (POSCAR):
```
Ac2SmHoO6
1.0
6.071 0.000 -0.026
0.000 6.259 0.000
0.015 0.000 8.755
Ac Sm Ho O
4 2 2 12
Cartesian
0.097 5.958 2.192
3.141 3.430 6.556
5.989 0.301 6.537
2.946 2.829 2.172
3.036 0.000 -0.013
0.008 3.129 4.377
3.043 0.000 4.364
0.000 3.129 0.000
1.817 4.346 0.563
4.860 5.042 4.927
4.270 1.913 8.166
1.227 1.216 3.801
1.874 4.392 3.780
4.917 4.996 8.144
4.213 1.866 4.949
1.170 1.263 0.584
5.332 3.476 2.126
2.304 5.912 6.517
0.755 2.783 6.602
3.782 0.347 2.212
```

- SG: P2_1/c, No. 14
- Raw formation energy: -34.1 eV per formula unit
- Spin magnetization: 0.00 μB/cell

Record 6
This record from the Alexandria database describes a relaxed BaIn2Os crystal. The functional is GGA-PBE.

Structure (POSCAR):
```
BaIn2Os
1.0
6.096 -0.013 0.000
-2.936 5.343 0.000
0.000 0.000 3.132
Ba In Os
1 2 1
Cartesian
-1.468 2.671 1.566
0.000 0.000 0.000
1.580 2.665 0.000
3.048 -0.006 1.566
```

- E_form: 0.779 eV per atom
- SG: Cmmm, No. 65
- Spin magnetization: 1.44 μB/cell

Record 7
This record from the Alexandria database describes a relaxed YGa2Pb2 crystal. The functional is GGA-PBE.

Structure (POSCAR):
```
YGa2Pb2
1.0
-6.333 2.620 -3.782
3.008 -2.511 -6.776
-1.832 -3.649 0.539
Pb Y Ga
4 2 4
Cartesian
0.010 -3.061 -4.952
-2.697 -2.135 -7.877
-5.167 -0.479 -5.066
-2.460 -1.406 -2.141
0.000 0.000 0.000
-1.662 0.054 -5.279
0.239 -1.214 -7.405
-3.712 0.751 -7.528
-3.564 1.323 -3.153
0.387 -0.642 -3.030
```

- E_form: -0.177 eV per atom
- SG: P4/mbm, No. 127
- Spin magnetization: 0.00 μB/cell

Record 8
This record from the Alexandria database describes a relaxed NaCr3Fe crystal. The functional is GGA-PBE.

Structure (POSCAR):
```
NaCr3Fe
1.0
4.698 0.000 0.000
0.000 4.698 0.000
0.000 0.000 4.698
Cr Fe Na
3 1 1
Cartesian
0.000 2.349 0.000
0.000 0.000 2.349
2.349 0.000 0.000
2.349 2.349 2.349
0.000 0.000 0.000
```

- E_form: 2.532 eV per atom
- SG: Pm-3m, No. 221
- Spin magnetization: 13.20 μB/cell